Record 1
A relaxed structure of Na3U3SeS8. Source: Alexandria via LeMat-Bulk, functional PBE-GGA.

Values from the calculation:
Raw total energy, eV/cell: -180.210

Unit cell a=13.3016 b=8.2913 c=7.9736 alpha=90.00 beta=123.66 gamma=90.00
Last column: nearest neighbours and their distance in Å.
Space group C2/m (No. 12)
Inequivalent atoms, fractional coordinates:
1 Na 0.0000 0.0000 0.0000 x2  6 S 2.80-3.12
2 Na 0.2500 0.2500 0.0000 x4  6 S 2.96-3.03
3 U 0.0000 0.5000 0.5000 x2  6 S 2.68-2.74
4 U 0.2500 0.2500 0.5000 x4  6 S 2.62-2.79
5 Se 0.0000 0.0000 0.5000 x2  2 S 2.54
6 S 0.0168 0.2968 0.2556 x8  2 U 2.62-2.68
7 S 0.2297 0.0000 0.7058 x4  1 Se 2.54, 2 U 2.75
8 S 0.2479 0.5000 0.7323 x4  3 U 2.74-2.79, 3 Na 2.80-2.96


Record 2
A relaxed structure of NaY2SeS. Source: Alexandria via LeMat-Bulk, functional PBE-GGA.

Values from the calculation:
Raw total energy, eV/cell: -20.989

Unit cell a=5.4541 b=5.4541 c=4.6194 alpha=90.00 beta=90.00 gamma=90.00
Last column: nearest neighbours and their distance in Å.
Space group P4/mmm (No. 123)
Inequivalent atoms, fractional coordinates:
1 Na 0.0000 0.0000 0.0000 x1  2 Se 2.31
2 Y 0.0000 0.5000 0.0000 x2  2 Na 2.73
3 Se 0.0000 0.0000 0.5000 x1  2 Na 2.31
4 S 0.5000 0.5000 0.5000 x1  8 Y 3.57, 4 Se 3.86


Record 3
A relaxed structure of NaSiS. Source: Alexandria via LeMat-Bulk, functional PBE-GGA.

Values from the calculation:
Energy relative to the lowest polymorph listed for this composition, meV/atom: 381.9
Raw total energy, eV/cell: -11.729

Unit cell a=3.3368 b=3.7716 c=5.4550 alpha=90.00 beta=90.00 gamma=90.00
Last column: nearest neighbours and their distance in Å.
Space group Pmm2 (No. 25)
Inequivalent atoms, fractional coordinates:
1 Na 0.0000 0.0000 0.0000 x1  2 S 2.83, 4 Si 3.14
2 Si 0.5000 0.5000 0.3452 x1  2 S 2.22
3 S 0.0000 0.5000 0.6129 x1  2 Si 2.22


Record 4
A relaxed structure of NaSiS2. Source: Alexandria via LeMat-Bulk, functional PBE-GGA.

Values from the calculation:
Raw total energy, eV/cell: -68.884

Unit cell a=5.9531 b=5.9531 c=11.4199 alpha=90.00 beta=90.00 gamma=90.00
Last column: nearest neighbours and their distance in Å.
Space group I-42d (No. 122)
Inequivalent atoms, fractional coordinates:
1 Na 0.0000 0.0000 0.0000 x4  4 S 2.85
2 Si 0.0000 0.0000 0.5000 x4  4 S 2.30
3 S 0.1697 0.2500 0.6250 x8  2 Si 2.30